Here is a geometry-optimized K2Sb5Pd4 structure from Alexandria. Energies are from GGA-PBE.

abc: 8.047 7.227 7.603
angles: 79.23 58.05 56.17
Fractional positions:
Sb 0.000 0.500 0.500
Pd 0.177 0.563 0.083
Pd 0.676 0.864 0.785
Pd 0.823 0.437 0.917
Sb 0.762 0.775 0.113
Sb 0.350 0.775 0.113
Sb 0.650 0.225 0.887
K 0.730 0.182 0.359
Sb 0.238 0.225 0.887
Pd 0.324 0.136 0.215
K 0.270 0.818 0.641

Calculated values
DOS at the Fermi energy in states/eV/f.u.: 6.12
Space-group type: C2/m (12)
Raw total energy in eV/atom: -4.27
V in Å³/cell: 308.0
Total magnetic moment in μB/cell: 0.00
Crystal system: monoclinic